TbTm2Os | GGA-PBE | relaxed

The value obtained for the formation energy is 229 meV per atom. The relative energy among the computed polymorphs comes out at 518 meV per atom.

The structure belongs to space group R-3m (No. 166, hexagonal axes); the cell edges are 3.3826, 3.3826 and 32.5047 Å and the angles 90.00°, 90.00° and 120.00°. The distinct sites, in fractional coordinates, are Tb at (0.0000, 0.0000, 0.0000), Tm at (0.0000, 0.0000, 0.1051) and Os at (0.0000, 0.0000, 0.5000).